Entry 1:
VASP calculation (PBE) on an optimized crystal structure of CdTeIr4.

Output
Volume   106.63 Å³/cell
E_tot   -6.118 eV per atom

Cell: 5.3228 5.3228 5.3228 Å, 60.00 60.00 60.00°
Atoms (fractional coordinates):
Cd: 0.0000 0.0000 0.0000
Te: 0.2500 0.2500 0.2500
Ir: 0.1242 0.6253 0.6253
Ir: 0.6253 0.1242 0.6253
Ir: 0.6253 0.6253 0.1242
Ir: 0.6253 0.6253 0.6253



Entry 2:
VASP calculation (PBE) on an optimized crystal structure of Ho4SbTeAs2.

Output
Volume   213.40 Å³/cell
E_tot   -5.766 eV per atom

Cell: 7.2864 4.2049 7.3713 Å, 90.00 109.11 90.00°
Atoms (fractional coordinates):
Ho: 0.2372 0.0000 0.2251
Ho: 0.2534 0.5000 0.7710
Ho: 0.7466 0.5000 0.2290
Ho: 0.7628 0.0000 0.7749
Sb: 0.0000 0.0000 0.5000
Te: 0.5000 0.5000 0.5000
As: 0.0000 0.5000 0.0000
As: 0.5000 0.0000 0.0000



Entry 3:
VASP calculation (PBE) on an optimized crystal structure of Ta5Fe4Ru.

Output
Volume   147.72 Å³/cell
E_tot   -10.435 eV per atom

Cell: 3.0868 3.0868 15.5042 Å, 90.00 90.00 90.00°
Atoms (fractional coordinates):
Ta: 0.0000 0.0000 0.0000
Ta: 0.0000 0.0000 0.1962
Ta: 0.0000 0.0000 0.3923
Ta: 0.0000 0.0000 0.6077
Ta: 0.0000 0.0000 0.8038
Fe: 0.5000 0.5000 0.0978
Fe: 0.5000 0.5000 0.2972
Fe: 0.5000 0.5000 0.7028
Fe: 0.5000 0.5000 0.9022
Ru: 0.5000 0.5000 0.5000



Entry 4:
VASP calculation (PBE) on an optimized crystal structure of Dy3Th2Sc3.

Output
Volume   234.66 Å³/cell
E_tot   -5.801 eV per atom

Cell: 6.2094 6.2094 6.2094 Å, 96.34 96.34 96.34°
Atoms (fractional coordinates):
Dy: 0.0000 0.2812 0.7188
Dy: 0.2812 0.7188 0.0000
Dy: 0.7188 0.0000 0.2812
Th: 0.2664 0.2664 0.2664
Th: 0.7336 0.7336 0.7336
Sc: 0.2067 0.7933 0.5000
Sc: 0.5000 0.2067 0.7933
Sc: 0.7933 0.5000 0.2067



Entry 5:
VASP calculation (PBE) on an optimized crystal structure of Cs2NaSrF.

Output
Volume   277.45 Å³/cell
E_tot   -2.331 eV per atom

Cell: 7.6010 7.6010 4.8021 Å, 90.00 90.00 90.00°
Atoms (fractional coordinates):
Cs: 0.0000 0.5000 0.0000
Cs: 0.5000 0.0000 0.0000
Na: 0.0000 0.0000 0.5000
Sr: 0.5000 0.5000 0.5000
F: 0.5000 0.5000 0.0000



Entry 6:
VASP calculation (PBE) on an optimized crystal structure of RbTl14In.

Output
Volume   508.02 Å³/cell
E_tot   -2.300 eV per atom

Cell: 11.1381 6.9320 6.9320 Å, 71.66 90.00 90.00°
Atoms (fractional coordinates):
Rb: 0.0000 0.0000 0.0000
Tl: 0.0000 0.5159 0.9343
Tl: 0.0000 0.9343 0.5159
Tl: 0.2408 0.2562 0.2562
Tl: 0.2540 0.2992 0.7400
Tl: 0.2540 0.7400 0.2992
Tl: 0.2638 0.7834 0.7834
Tl: 0.5000 0.0057 0.0057
Tl: 0.5000 0.0111 0.4972
Tl: 0.5000 0.4972 0.0111
Tl: 0.5000 0.5047 0.5047
Tl: 0.7362 0.7834 0.7834
Tl: 0.7460 0.2992 0.7400
Tl: 0.7460 0.7400 0.2992
Tl: 0.7592 0.2562 0.2562
In: 0.0000 0.4554 0.4554



Entry 7:
VASP calculation (PBE) on an optimized crystal structure of Tc2Ni2Pt7.

Output
Volume   174.80 Å³/cell
E_tot   -6.603 eV per atom

Cell: 6.0757 6.0757 4.8948 Å, 99.27 99.27 81.96°
Atoms (fractional coordinates):
Tc: 0.2406 0.2406 0.2557
Tc: 0.7594 0.7594 0.7443
Ni: 0.1657 0.8343 0.0000
Ni: 0.8343 0.1657 0.0000
Pt: 0.0000 0.0000 0.5000
Pt: 0.0505 0.4084 0.7489
Pt: 0.4084 0.0505 0.7489
Pt: 0.4736 0.4736 0.7398
Pt: 0.5264 0.5264 0.2602
Pt: 0.5916 0.9495 0.2511
Pt: 0.9495 0.5916 0.2511



Entry 8:
VASP calculation (PBE) on an optimized crystal structure of AcTlAgTe.

Output
Volume   121.21 Å³/cell
E_tot   -3.621 eV per atom

Cell: 5.5551 5.5551 5.5551 Å, 60.00 60.00 60.00°
Atoms (fractional coordinates):
Ac: 0.0000 0.0000 0.0000
Tl: 0.5000 0.5000 0.5000
Ag: 0.2500 0.2500 0.2500
Te: 0.7500 0.7500 0.7500



Entry 9:
VASP calculation (PBE) on an optimized crystal structure of Tl8SeS5.

Output
Volume   477.07 Å³/cell
E_tot   -3.253 eV per atom

Cell: 8.7707 8.7707 8.7707 Å, 60.00 60.00 60.00°
Atoms (fractional coordinates):
Tl: 0.0953 0.6349 0.6349
Tl: 0.1113 0.1113 0.1113
Tl: 0.1113 0.1113 0.6661
Tl: 0.1113 0.6661 0.1113
Tl: 0.6349 0.0953 0.6349
Tl: 0.6349 0.6349 0.0953
Tl: 0.6349 0.6349 0.6349
Tl: 0.6661 0.1113 0.1113
Se: 0.2500 0.2500 0.2500
S: 0.3714 0.8762 0.8762
S: 0.5000 0.5000 0.5000
S: 0.8762 0.3714 0.8762
S: 0.8762 0.8762 0.3714
S: 0.8762 0.8762 0.8762



Entry 10:
VASP calculation (PBE) on an optimized crystal structure of LiMgNb.

Output
Volume   125.66 Å³/cell
E_tot   -2.783 eV per atom

Cell: 3.6411 3.6411 10.9446 Å, 90.00 90.00 120.00°
Atoms (fractional coordinates):
Li: 0.3333 0.6667 0.2500
Li: 0.6667 0.3333 0.7500
Mg: 0.0000 0.0000 0.2500
Mg: 0.0000 0.0000 0.7500
Nb: 0.0000 0.0000 0.0000
Nb: 0.0000 0.0000 0.5000



Entry 11:
VASP calculation (PBE) on an optimized crystal structure of CrPt2Cl2.

Output
Volume   124.49 Å³/cell
E_tot   -4.336 eV per atom

Cell: 10.6961 10.6961 10.6961 Å, 161.40 161.40 26.43°
Atoms (fractional coordinates):
Cr: 0.0000 0.0000 0.0000
Pt: 0.2500 0.7500 0.5000
Pt: 0.7500 0.2500 0.5000
Cl: 0.4301 0.4301 0.0000
Cl: 0.5699 0.5699 0.0000



Entry 12:
VASP calculation (PBE) on an optimized crystal structure of Y2AlHgC.

Output
Volume   139.31 Å³/cell
E_tot   -3.924 eV per atom

Cell: 5.4328 5.4328 4.7198 Å, 90.00 90.00 90.00°
Atoms (fractional coordinates):
Y: 0.0000 0.5000 0.0000
Y: 0.5000 0.0000 0.0000
Al: 0.0000 0.0000 0.0000
Hg: 0.0000 0.0000 0.5000
C: 0.5000 0.5000 0.5000